No. 1
VASP calculation (PBE) on crystalline Ba2Pm at its relaxed geometry.

## Properties
formation energy = 0.189 eV per atom
density of states at the Fermi level = 5.58 states/eV/f.u.
total energy = -8.0 eV for the cell shown

abc: 4.1018 4.1018 9.3329
angles: 102.69 102.69 89.97
Last column: nearest neighbours and their distance in Å.
Sites, in units of the cell vectors:
1 Ba 0.1543 0.1543 0.3084  4 Pm 3.99, 4 Ba 4.10
2 Ba 0.8457 0.8457 0.6916  4 Pm 3.99, 4 Ba 4.10
3 Pm 0.5000 0.5000 0.0000  8 Ba 3.99, 4 Pm 4.10

No. 2
VASP calculation (PBE) on crystalline BaPm at its relaxed geometry.

## Properties
formation energy = 0.253 eV per atom
density of states at the Fermi level = 3.70 states/eV/f.u.
total energy = -6.2 eV for the cell shown

abc: 3.9346 3.9346 6.5667
angles: 90.00 90.00 120.00
Last column: nearest neighbours and their distance in Å.
Sites, in units of the cell vectors:
1 Ba 0.6667 0.3333 0.7500  6 Ba 3.93, 6 Pm 3.99
2 Pm 0.3333 0.6667 0.2500  6 Pm 3.93, 6 Ba 3.99

No. 3
VASP calculation (PBE) on crystalline BaPm2Pr at its relaxed geometry.

## Properties
formation energy = 0.192 eV per atom
density of states at the Fermi level = 7.24 states/eV/f.u.
total energy = -15.4 eV for the cell shown

abc: 5.3512 5.3947 5.3947
angles: 90.00 90.00 90.00
Last column: nearest neighbours and their distance in Å.
Sites, in units of the cell vectors:
1 Pr 0.5000 0.0000 0.0000  8 Pm 3.80, 4 Ba 3.81
2 Ba 0.5000 0.5000 0.5000  8 Pm 3.80, 4 Pr 3.81
3 Pm 0.0000 0.0000 0.5000  4 Pr 3.80, 4 Ba 3.80, 4 Pm 3.81
4 Pm 0.0000 0.5000 0.0000  4 Ba 3.80, 4 Pr 3.80, 4 Pm 3.81

No. 4
VASP calculation (PBE) on crystalline BaPm2Pr at its relaxed geometry.

## Properties
formation energy = 0.198 eV per atom
density of states at the Fermi level = 6.62 states/eV/f.u.
total energy = -15.4 eV for the cell shown

abc: 3.7124 3.7124 13.3811
angles: 82.03 82.03 60.00
Last column: nearest neighbours and their distance in Å.
Sites, in units of the cell vectors:
1 Pr 0.5000 0.5000 0.5000  6 Pm 3.64, 6 Pr 3.71
2 Ba 0.0000 0.0000 0.0000  2 Pm 3.67, 6 Ba 3.71
3 Pm 0.0926 0.0926 0.7223  3 Pr 3.64, 1 Ba 3.67, 6 Pm 3.71
4 Pm 0.9074 0.9074 0.2777  3 Pr 3.64, 1 Ba 3.67, 6 Pm 3.71

No. 5
VASP calculation (PBE) on crystalline BaPm2Pr at its relaxed geometry.

## Properties
formation energy = 0.118 eV per atom
density of states at the Fermi level = 6.73 states/eV/f.u.
total energy = -15.7 eV for the cell shown

abc: 3.7847 3.7847 11.0728
angles: 90.00 90.00 90.00
Last column: nearest neighbours and their distance in Å.
Sites, in units of the cell vectors:
1 Pr 0.5000 0.5000 0.0000  8 Pm 3.63, 4 Pr 3.78
2 Ba 0.5000 0.5000 0.5000  4 Ba 3.78, 8 Pm 4.08
3 Pm 0.0000 0.0000 0.7782  4 Pr 3.63, 4 Pm 3.78
4 Pm 0.0000 0.0000 0.2218  4 Pr 3.63, 4 Pm 3.78

No. 6
VASP calculation (PBE) on crystalline Ba2PmPrS4 at its relaxed geometry.

## Properties
density of states at the Fermi level = 3.77 states/eV/f.u.
total energy = -46.1 eV for the cell shown
ΔE_f (raw) = -2.0221 eV/atom

abc: 4.2376 7.3243 7.5896
angles: 108.83 90.00 90.00
Last column: nearest neighbours and their distance in Å.
Sites, in units of the cell vectors:
1 Ba 0.5000 0.0000 0.5000  6 S 3.15
2 Ba 0.0000 0.5000 0.5000  6 S 3.18
3 Pm 0.0000 0.0000 0.0000  6 S 2.89-2.90
4 Pr 0.5000 0.5000 0.0000  6 S 2.93
5 S 0.5000 0.2369 0.2193  2 Pm 2.90, 1 Pr 2.93, 3 Ba 3.15-3.18
6 S 0.5000 0.7631 0.7807  2 Pm 2.90, 1 Pr 2.93, 3 Ba 3.15-3.18
7 S 0.0000 0.2562 0.7790  1 Pm 2.89, 2 Pr 2.93, 3 Ba 3.15-3.18
8 S 0.0000 0.7438 0.2210  1 Pm 2.89, 2 Pr 2.93, 3 Ba 3.15-3.18

No. 7
VASP calculation (PBE) on crystalline BaPm4PrS8 at its relaxed geometry.

## Properties
density of states at the Fermi level = 3.69 states/eV/f.u.
total energy = -86.2 eV for the cell shown
ΔE_f (raw) = -1.9591 eV/atom

abc: 8.4446 8.4446 8.4807
angles: 60.14 60.14 60.00
Last column: nearest neighbours and their distance in Å.
Sites, in units of the cell vectors:
1 Ba 0.3742 0.3742 0.8774  4 S 2.93-2.94
2 Pm 0.6252 0.6252 0.1243  4 S 2.73-2.75
3 Pm 0.0016 0.4952 0.5017  6 S 2.78-2.93
4 Pm 0.4952 0.0016 0.5017  6 S 2.78-2.93
5 Pm 0.0016 0.0016 0.5017  6 S 2.78-2.93
6 Pr 0.0016 0.0016 0.9953  6 S 2.82-2.95
7 S 0.2358 0.7988 0.7295  2 Pm 2.78, 1 Pr 2.82, 1 Ba 2.93
8 S 0.7988 0.2358 0.7295  2 Pm 2.78, 1 Pr 2.82, 1 Ba 2.93
9 S 0.2358 0.2358 0.7295  2 Pm 2.78, 1 Pr 2.82, 1 Ba 2.93
10 S 0.2331 0.2331 0.3006  3 Pm 2.78, 1 Ba 2.94
11 S 0.7552 0.2294 0.2603  3 Pm 2.73-2.92, 1 Pr 2.95
12 S 0.2294 0.7552 0.2603  3 Pm 2.73-2.92, 1 Pr 2.95
13 S 0.7552 0.7552 0.2603  3 Pm 2.73-2.92, 1 Pr 2.95
14 S 0.7574 0.7574 0.7278  4 Pm 2.75-2.93

No. 8
VASP calculation (PBE) on crystalline BaPm2PrS4 at its relaxed geometry.

## Properties
density of states at the Fermi level = 3.86 states/eV/f.u.
total energy = -97.3 eV for the cell shown
ΔE_f (raw) = -1.9894 eV/atom

abc: 8.3326 8.3326 8.2732
angles: 119.76 119.76 89.99
Last column: nearest neighbours and their distance in Å.
Sites, in units of the cell vectors:
1 Ba 0.0000 0.5000 0.0000  6 S 3.06-3.07
2 Ba 0.0000 0.5000 0.5000  6 S 3.06-3.07
3 Pm 0.5000 0.0000 0.0000  6 S 2.83-2.84
4 Pm 0.5000 0.0000 0.5000  6 S 2.83-2.84
5 Pm 0.0000 0.0000 0.5000  6 S 2.92
6 Pm 0.5000 0.5000 0.0000  6 S 2.92
7 Pr 0.5000 0.5000 0.5000  6 S 2.97-2.98
8 Pr 0.0000 0.0000 0.0000  6 S 2.97-2.98
9 S 0.2722 0.7677 0.0199  3 Pm 2.83-2.92, 1 Pr 2.98, 2 Ba 3.07
10 S 0.7323 0.2278 0.4801  3 Pm 2.83-2.92, 1 Pr 2.98, 2 Ba 3.07
11 S 0.2677 0.7722 0.5199  3 Pm 2.83-2.92, 1 Pr 2.98, 2 Ba 3.07
12 S 0.7278 0.2323 0.9801  3 Pm 2.83-2.92, 1 Pr 2.98, 2 Ba 3.07
13 S 0.7406 0.7594 0.0045  3 Pm 2.84-2.92, 2 Pr 2.97, 1 Ba 3.06
14 S 0.7406 0.7594 0.4955  3 Pm 2.84-2.92, 2 Pr 2.97, 1 Ba 3.06
15 S 0.2594 0.2406 0.5045  3 Pm 2.84-2.92, 2 Pr 2.97, 1 Ba 3.06
16 S 0.2594 0.2406 0.9955  3 Pm 2.84-2.92, 2 Pr 2.97, 1 Ba 3.06